(1)
## Cs3SeBr6 (PBE)

Data for a geometry-optimized Cs3SeBr6 structure.

a b c (Å): 9.8502 9.8502 9.8502
angles (deg): 87.58 87.58 87.58
Positions (direct):
Cs  0.1179  0.7268  0.3881
Cs  0.2732  0.6119  0.8821
Cs  0.3881  0.1179  0.7268
Cs  0.6119  0.8821  0.2732
Cs  0.7268  0.3881  0.1179
Cs  0.8821  0.2732  0.6119
Se  0.0000  0.0000  0.0000
Se  0.5000  0.5000  0.5000
Br  0.0578  0.9384  0.7475
Br  0.0616  0.2525  0.9422
Br  0.2181  0.4230  0.5834
Br  0.2525  0.9422  0.0616
Br  0.4166  0.7819  0.5770
Br  0.4230  0.5834  0.2181
Br  0.5770  0.4166  0.7819
Br  0.5834  0.2181  0.4230
Br  0.7475  0.0578  0.9384
Br  0.7819  0.5770  0.4166
Br  0.9384  0.7475  0.0578
Br  0.9422  0.0616  0.2525

Summary:
For the energy above the most stable polymorph in this dataset, the calculation gives 0.0 meV per atom. The space group is R-3 (148). Its raw total energy is -2.6595 eV/atom. The total magnetization is 1.0 μB/f.u. For the uncorrected formation energy, the calculation gives -1.05 eV per atom.

---

(2)
## Pm4Ho2Th (PBE)

Data for a geometry-optimized Pm4Ho2Th structure.

a b c (Å): 3.6189 3.6189 20.6177
angles (deg): 95.14 95.14 59.99
Positions (direct):
Pm  0.0000  0.0000  0.0000
Pm  0.0902  0.0902  0.2806
Pm  0.5205  0.5205  0.5641
Pm  0.6154  0.6154  0.8513
Ho  0.7097  0.7097  0.1396
Ho  0.8017  0.8017  0.4220
Th  0.9019  0.9019  0.7084

Summary:
For the energy above the most stable polymorph in this dataset, the calculation gives 0.0 meV per atom. The value obtained for the energy of formation is 0.038 eV per atom. The space group is Cm (8). Its raw total energy is -5.0447 eV/atom. The total magnetization is 0.0 μB/f.u.

---

(3)
## Pu2SiPt (PBE)

Data for a geometry-optimized Pu2SiPt structure.

a b c (Å): 3.7892 3.7892 5.6251
angles (deg): 90.00 90.00 90.00
Positions (direct):
Pu  0.0000  0.0000  0.2450
Pu  0.0000  0.0000  0.7550
Si  0.5000  0.5000  0.0000
Pt  0.5000  0.5000  0.5000

Summary:
The space group is P4/mmm (123). Its raw total energy is -10.6304 eV/atom. The total magnetization is 10.3 μB/f.u. For the uncorrected formation energy, the calculation gives -0.60 eV per atom.

---

(4)
## GdUTcRu (PBE)

Data for a geometry-optimized GdUTcRu structure.

a b c (Å): 4.8145 4.8145 4.8145
angles (deg): 60.00 60.00 60.00
Positions (direct):
Gd  0.0000  0.0000  0.0000
U  0.5000  0.5000  0.5000
Tc  0.7500  0.7500  0.7500
Ru  0.2500  0.2500  0.2500

Summary:
The value obtained for the energy of formation is -0.034 eV per atom. The space group is F-43m (216). Its raw total energy is -11.2866 eV/atom. The total magnetization is 5.6 μB/f.u.